BeAg3Cl6 | PBE | optimized geometry

Output
Size of the total moment = 1.24 Bohr magnetons per cell
Fermi-level density of states = 0.4935 states/eV/atom
Formation energy without anion corrections = -0.674 eV per atom
Space-group type = No. 36

Cell and atoms, written as POSCAR:
```
BeAg3Cl6
1.0
-1.235 4.962 3.728
-7.010 -4.250 3.334
6.903 -2.125 5.115
Cl Ag Be
12 6 2
Cartesian
-6.794 -0.492 6.173
5.518 -1.187 5.805
-0.159 -0.996 8.080
-0.932 -3.689 6.038
2.766 -2.843 6.531
-3.912 0.641 5.053
-3.945 -1.293 7.616
2.799 -0.909 3.968
-4.789 -2.644 4.575
-0.896 -1.571 3.230
-0.124 1.122 5.272
3.457 1.191 7.573
1.117 -0.936 5.938
0.010 3.763 5.465
-1.843 0.905 3.285
-1.908 -2.945 8.388
-0.055 -0.087 10.568
-2.835 1.035 7.375
3.983 -2.284 4.957
-4.845 -1.057 5.771
```

DyCd2Ga | PBE | optimized geometry

Output
Size of the total moment = 0.00 Bohr magnetons per cell
Fermi-level density of states = 0.6425 states/eV/atom
Formation enthalpy at 0 K = -340 meV/atom
Space-group type = No. 123

Cell and atoms, written as POSCAR:
```
DyCd2Ga
1.0
-0.053 -1.329 -4.628
3.870 -1.877 0.495
-1.941 -3.714 1.089
Cd Ga Dy
2 1 1
Cartesian
-0.970 -1.857 0.544
1.935 -0.939 0.247
-0.027 -0.664 -2.314
0.938 -3.460 -1.522
```

Ho3TmRh2 | PBE | optimized geometry

Output
Size of the total moment = 0.00 Bohr magnetons per cell
Fermi-level density of states = 0.8295 states/eV/atom
Formation enthalpy at 0 K = -598 meV/atom
Space-group type = No. 72

Cell and atoms, written as POSCAR:
```
Ho3TmRh2
1.0
6.650 0.000 0.000
0.000 7.040 0.000
-3.325 -3.520 6.730
Rh Ho Tm
4 6 2
Cartesian
-1.412 3.520 4.875
1.412 0.000 4.875
4.737 0.000 1.855
1.913 3.520 1.855
3.325 1.760 0.000
3.325 1.760 3.622
3.325 -1.760 3.622
0.000 1.760 3.108
3.325 5.280 0.000
0.000 5.280 3.108
0.000 3.520 0.000
0.000 0.000 0.000
```

Mg2FeW | PBE | optimized geometry

Output
Size of the total moment = 1.35 Bohr magnetons per cell
Fermi-level density of states = 0.5023 states/eV/atom
Formation enthalpy at 0 K = 341 meV/atom
Space-group type = No. 6

Cell and atoms, written as POSCAR:
```
Mg2FeW
1.0
4.274 0.000 0.000
0.000 2.757 -0.005
0.000 1.194 5.518
Mg W Fe
2 1 1
Cartesian
2.137 1.021 1.437
0.000 3.794 5.454
0.000 2.195 2.927
2.137 2.867 3.964
```

Record order is preserved below.
Relative energy among the computed polymorphs: 0 4 0 156 meV per atom